1.
PrSmPdRu: relaxed, PBE. Values from VASP.

calculated formation energy: -0.442 eV/atom
final energy: -25.7 eV/f.u.

Quantum ESPRESSO input file:
```
&SYSTEM
  ibrav = 0, nat = 4, ntyp = 4
/
ATOMIC_SPECIES
Sm 150.36 Sm.upf
Ru 101.07 Ru.upf
Pd 106.42 Pd.upf
Pr 140.91 Pr.upf
CELL_PARAMETERS angstrom
-1.948 -1.059 -4.518
-3.079 -3.943 -0.551
-4.904 0.737 -0.862
ATOMIC_POSITIONS crystal
Sm 0.000 0.000 0.000
Ru 0.750 0.750 0.750
Pd 0.250 0.250 0.250
Pr 0.500 0.500 0.500
```

2.
CsSe3: relaxed, PBE. Values from VASP.

energy relative to the lowest polymorph listed for this composition: 299 meV/atom
final energy: -11.9 eV/f.u.
ΔE_f (raw): -0.157 eV/atom

Quantum ESPRESSO input file:
```
&SYSTEM
  ibrav = 0, nat = 4, ntyp = 2
/
ATOMIC_SPECIES
Se 78.96 Se.upf
Cs 132.91 Cs.upf
CELL_PARAMETERS angstrom
4.810 0.000 0.000
0.000 4.810 0.000
-2.405 -2.405 5.989
ATOMIC_POSITIONS crystal
Se 0.500 0.500 0.000
Cs 0.000 0.000 0.000
Se 0.713 0.713 0.426
Se 0.287 0.287 0.574
```

3.
YTa3C: relaxed, PBE. Values from VASP.

calculated formation energy: 3.703 eV/atom
energy relative to the lowest polymorph listed for this composition: 3659 meV/atom
final energy: -32.7 eV/f.u.

Quantum ESPRESSO input file:
```
&SYSTEM
  ibrav = 0, nat = 5, ntyp = 3
/
ATOMIC_SPECIES
Ta 180.95 Ta.upf
Y 88.91 Y.upf
C 12.01 C.upf
CELL_PARAMETERS angstrom
-2.176 -4.365 -0.518
2.428 -0.711 -4.202
3.664 -2.121 2.476
ATOMIC_POSITIONS crystal
Ta 0.000 0.000 0.500
Ta 0.000 0.500 0.000
Y 0.000 0.000 0.000
Ta 0.500 0.000 0.000
C 0.500 0.500 0.500
```

4.
K2GeBr: relaxed, PBE. Values from VASP.

energy relative to the lowest polymorph listed for this composition: 0 meV/atom
final energy: -10.1 eV/f.u.
ΔE_f (raw): -0.416 eV/atom

Quantum ESPRESSO input file:
```
&SYSTEM
  ibrav = 0, nat = 4, ntyp = 3
/
ATOMIC_SPECIES
Br 79.90 Br.upf
Ge 72.64 Ge.upf
K 39.10 K.upf
CELL_PARAMETERS angstrom
2.165 -4.704 2.852
-0.528 -0.396 5.875
-3.682 -3.969 2.376
ATOMIC_POSITIONS crystal
Br 0.500 0.500 0.500
Ge 0.000 0.000 0.000
K 0.750 0.750 0.750
K 0.250 0.250 0.250
```

5.
Hf2Ti3Pb: relaxed, PBE. Values from VASP.

calculated formation energy: 0.002 eV/atom
energy relative to the lowest polymorph listed for this composition: 20 meV/atom
final energy: -47.3 eV/f.u.

Quantum ESPRESSO input file:
```
&SYSTEM
  ibrav = 0, nat = 12, ntyp = 3
/
ATOMIC_SPECIES
Hf 178.49 Hf.upf
Ti 47.87 Ti.upf
Pb 207.20 Pb.upf
CELL_PARAMETERS angstrom
-0.596 -5.670 0.180
0.832 -2.763 -4.920
7.911 3.429 4.170
ATOMIC_POSITIONS crystal
Hf 0.759 0.241 0.000
Ti 0.168 0.168 0.839
Ti 0.672 0.672 0.839
Pb 0.669 0.669 0.338
Pb 0.331 0.331 0.662
Hf 0.250 0.750 0.500
Ti 0.328 0.328 0.161
Ti 0.158 0.158 0.316
Hf 0.750 0.250 0.500
Ti 0.832 0.832 0.161
Ti 0.842 0.842 0.684
Hf 0.241 0.759 0.000
```

6.
SeBr: relaxed, PBE. Values from VASP.

final energy: -4.6 eV/f.u.
ΔE_f (raw): 0.292 eV/atom

Quantum ESPRESSO input file:
```
&SYSTEM
  ibrav = 0, nat = 4, ntyp = 2
/
ATOMIC_SPECIES
Se 78.96 Se.upf
Br 79.90 Br.upf
CELL_PARAMETERS angstrom
-0.889 -2.401 -2.574
2.533 -0.834 2.463
-6.952 -3.733 5.884
ATOMIC_POSITIONS crystal
Se 0.333 0.667 0.423
Se 0.667 0.333 0.923
Br 0.333 0.667 0.659
Br 0.667 0.333 0.159
```